A relaxed CrH2AuF crystal, computed with GGA+U.

Cell and atoms, written as POSCAR:
```
CrH2AuF
1.0
3.835 0.000 0.000
0.000 3.952 0.000
0.000 0.000 3.835
F Au Cr H
1 1 1 2
Direct
0.000 0.500 0.000
0.500 0.500 0.500
0.000 0.000 0.000
0.000 0.000 0.500
0.500 0.000 0.000
```

Values from the calculation:
D(E_F)	1.4	states/eV/cell
M_tot	3.55	μB per formula unit
symmetry	P4/mmm
VASP energy	-0.14600	hartree per atom